Entry from Alexandria via LeMat-Bulk: a geometry-optimized LiCeZrMo structure (PBE).

The structure in POSCAR format:
```
LiCeZrMo
1.0
-1.137 -0.967 4.614
3.035 -2.595 2.752
2.443 2.143 3.600
Mo Zr Ce Li
1 1 1 1
Direct
0.500 0.500 0.500
0.250 0.250 0.250
0.750 0.750 0.750
0.000 0.000 0.000
```

Space group: F-43m, No. 216
ΔE_f: 0.136 eV/atom
DOS(E_F): 1.12 states/eV/atom
Size of the total moment: 0.0 μB/f.u.
DFT total energy: -26.68 eV for the cell shown